The following is a DFT calculation (GGA-PBE) of a geometry-optimized LaTb2Mg3Pt2Au structure. Values from VASP.

Output
Electronic total energy = -4.655 eV per atom
Space group = No. 38

Structure (Quantum ESPRESSO input):
```
&SYSTEM
  ibrav = 0, nat = 9, ntyp = 5
/
ATOMIC_SPECIES
Au 196.97 Au.upf
La 138.91 La.upf
Mg 24.30 Mg.upf
Pt 195.08 Pt.upf
Tb 158.93 Tb.upf
CELL_PARAMETERS angstrom
-2.925 2.663 1.008
2.751 0.368 7.015
2.529 4.771 -5.269
ATOMIC_POSITIONS crystal
Au 0.000 0.006 0.006
La 0.000 0.579 0.579
Mg 0.500 0.752 0.005
Mg 0.500 0.244 0.244
Mg 0.500 0.005 0.752
Pt 0.500 0.668 0.329
Pt 0.500 0.329 0.668
Tb 0.000 0.415 0.001
Tb 0.000 0.001 0.415
```



The following is a DFT calculation (GGA-PBE) of a geometry-optimized LaMgAuS3 structure. Values from VASP.

Output
Electronic total energy = -4.844 eV per atom
Space group = No. 63

Structure (Quantum ESPRESSO input):
```
&SYSTEM
  ibrav = 0, nat = 12, ntyp = 4
/
ATOMIC_SPECIES
Au 196.97 Au.upf
La 138.91 La.upf
Mg 24.30 Mg.upf
S 32.06 S.upf
CELL_PARAMETERS angstrom
6.344 -1.919 0.000
6.344 1.919 0.000
0.000 0.000 10.920
ATOMIC_POSITIONS crystal
Au 0.478 0.478 0.250
Au 0.522 0.522 0.750
La 0.000 0.000 0.000
La 0.000 0.000 0.500
Mg 0.767 0.767 0.250
Mg 0.233 0.233 0.750
S 0.345 0.345 0.083
S 0.114 0.114 0.250
S 0.345 0.345 0.417
S 0.655 0.655 0.583
S 0.886 0.886 0.750
S 0.655 0.655 0.917
```



The following is a DFT calculation (GGA-PBE) of a geometry-optimized LaMgTe2AuS structure. Values from VASP.

Output
Electronic total energy = -4.259 eV per atom
Space group = No. 63

Structure (Quantum ESPRESSO input):
```
&SYSTEM
  ibrav = 0, nat = 12, ntyp = 5
/
ATOMIC_SPECIES
Au 196.97 Au.upf
La 138.91 La.upf
Mg 24.30 Mg.upf
S 32.06 S.upf
Te 127.60 Te.upf
CELL_PARAMETERS angstrom
2.081 -7.013 0.000
2.081 7.013 0.000
0.000 0.000 10.970
ATOMIC_POSITIONS crystal
Au 0.519 0.481 0.250
Au 0.481 0.519 0.750
La 0.000 0.000 0.000
La 0.000 0.000 0.500
Mg 0.275 0.725 0.250
Mg 0.725 0.275 0.750
S 0.901 0.099 0.250
S 0.099 0.901 0.750
Te 0.663 0.337 0.079
Te 0.663 0.337 0.421
Te 0.337 0.663 0.579
Te 0.337 0.663 0.921
```



The following is a DFT calculation (GGA-PBE) of a geometry-optimized LaMgTeAuS2 structure. Values from VASP.

Output
Electronic total energy = -4.601 eV per atom
Space group = No. 63

Structure (Quantum ESPRESSO input):
```
&SYSTEM
  ibrav = 0, nat = 12, ntyp = 5
/
ATOMIC_SPECIES
Au 196.97 Au.upf
La 138.91 La.upf
Mg 24.30 Mg.upf
S 32.06 S.upf
Te 127.60 Te.upf
CELL_PARAMETERS angstrom
1.967 -6.915 0.000
1.967 6.915 0.000
0.000 0.000 11.301
ATOMIC_POSITIONS crystal
Au 0.488 0.512 0.250
Au 0.512 0.488 0.750
La 0.000 0.000 0.000
La 0.000 0.000 0.500
Mg 0.812 0.188 0.250
Mg 0.188 0.812 0.750
S 0.362 0.638 0.088
S 0.362 0.638 0.412
S 0.638 0.362 0.588
S 0.638 0.362 0.912
Te 0.131 0.869 0.250
Te 0.869 0.131 0.750
```



The following is a DFT calculation (GGA-PBE) of a geometry-optimized LaMgAuSe3 structure. Values from VASP.

Output
Electronic total energy = -4.473 eV per atom
Space group = No. 63

Structure (Quantum ESPRESSO input):
```
&SYSTEM
  ibrav = 0, nat = 12, ntyp = 4
/
ATOMIC_SPECIES
Au 196.97 Au.upf
La 138.91 La.upf
Mg 24.30 Mg.upf
Se 78.96 Se.upf
CELL_PARAMETERS angstrom
6.715 -1.979 0.000
6.715 1.979 0.000
0.000 0.000 11.056
ATOMIC_POSITIONS crystal
Au 0.477 0.477 0.250
Au 0.523 0.523 0.750
La 0.000 0.000 0.000
La 0.000 0.000 0.500
Mg 0.776 0.776 0.250
Mg 0.224 0.224 0.750
Se 0.342 0.342 0.079
Se 0.113 0.113 0.250
Se 0.342 0.342 0.421
Se 0.658 0.658 0.579
Se 0.887 0.887 0.750
Se 0.658 0.658 0.921
```



The following is a DFT calculation (GGA-PBE) of a geometry-optimized LaMgTeAuSe2 structure. Values from VASP.

Output
Electronic total energy = -4.355 eV per atom
Space group = No. 63

Structure (Quantum ESPRESSO input):
```
&SYSTEM
  ibrav = 0, nat = 12, ntyp = 5
/
ATOMIC_SPECIES
Au 196.97 Au.upf
La 138.91 La.upf
Mg 24.30 Mg.upf
Se 78.96 Se.upf
Te 127.60 Te.upf
CELL_PARAMETERS angstrom
2.011 -6.971 0.000
2.011 6.971 0.000
0.000 0.000 11.375
ATOMIC_POSITIONS crystal
Au 0.480 0.520 0.250
Au 0.520 0.480 0.750
La 0.000 0.000 0.000
La 0.000 0.000 0.500
Mg 0.805 0.195 0.250
Mg 0.195 0.805 0.750
Se 0.351 0.649 0.080
Se 0.351 0.649 0.420
Se 0.649 0.351 0.580
Se 0.649 0.351 0.920
Te 0.120 0.880 0.250
Te 0.880 0.120 0.750
```



The following is a DFT calculation (GGA-PBE) of a geometry-optimized LaMgTe2AuSe structure. Values from VASP.

Output
Electronic total energy = -4.156 eV per atom
Space group = No. 63

Structure (Quantum ESPRESSO input):
```
&SYSTEM
  ibrav = 0, nat = 12, ntyp = 5
/
ATOMIC_SPECIES
Au 196.97 Au.upf
La 138.91 La.upf
Mg 24.30 Mg.upf
Se 78.96 Se.upf
Te 127.60 Te.upf
CELL_PARAMETERS angstrom
2.084 -7.099 0.000
2.084 7.099 0.000
0.000 0.000 11.162
ATOMIC_POSITIONS crystal
Au 0.522 0.478 0.250
Au 0.478 0.522 0.750
La 0.000 0.000 0.000
La 0.000 0.000 0.500
Mg 0.253 0.747 0.250
Mg 0.747 0.253 0.750
Se 0.896 0.104 0.250
Se 0.104 0.896 0.750
Te 0.662 0.338 0.078
Te 0.662 0.338 0.422
Te 0.338 0.662 0.578
Te 0.338 0.662 0.922
```



The following is a DFT calculation (GGA-PBE) of a geometry-optimized LaMg2SiAu structure. Values from VASP.

Output
Electronic total energy = -3.963 eV per atom
Space group = No. 107

Structure (Quantum ESPRESSO input):
```
&SYSTEM
  ibrav = 0, nat = 5, ntyp = 4
/
ATOMIC_SPECIES
Au 196.97 Au.upf
La 138.91 La.upf
Mg 24.30 Mg.upf
Si 28.09 Si.upf
CELL_PARAMETERS angstrom
4.129 -4.344 2.996
2.349 0.550 6.251
-5.657 0.321 -3.576
ATOMIC_POSITIONS crystal
Au 0.387 0.387 0.000
La 0.017 0.017 0.000
Mg 0.749 0.249 0.500
Mg 0.249 0.749 0.500
Si 0.599 0.599 0.000
```



The highest electronic total energy belongs to which entry? LaMg2SiAu